The following is a GGA-PBE calculation of crystalline K2SiPbS4 at its relaxed geometry, from Alexandria.

Cell: 8.253 8.253 8.613 Å, 119.03 119.03 89.25°
Atoms (fractional coordinates):
K: 0.500 0.000 0.000
K: 0.500 0.000 0.500
K: 0.000 0.000 0.500
K: 0.500 0.500 0.000
Si: 0.500 0.500 0.500
Si: 0.000 0.000 0.000
Pb: 0.000 0.500 0.000
Pb: 0.000 0.500 0.500
S: 0.180 0.791 0.974
S: 0.709 0.320 0.526
S: 0.291 0.680 0.474
S: 0.820 0.209 0.026
S: 0.828 0.824 0.030
S: 0.676 0.672 0.470
S: 0.324 0.328 0.530
S: 0.172 0.176 0.970

Output
Raw formation energy (meV/atom): -642
M_tot (μB/atom): 0.00


The following is a GGA-PBE calculation of crystalline K2SnPbS4 at its relaxed geometry, from Alexandria.

Cell: 6.493 8.608 9.839 Å, 90.00 90.00 90.00°
Atoms (fractional coordinates):
K: 0.448 0.331 0.253
K: 0.448 0.331 0.747
K: 0.948 0.669 0.753
K: 0.948 0.669 0.247
Sn: 0.505 0.843 0.500
Sn: 0.005 0.157 0.000
Pb: 0.967 0.170 0.500
Pb: 0.467 0.830 0.000
S: 0.382 0.129 0.000
S: 0.882 0.871 0.500
S: 0.382 0.112 0.500
S: 0.882 0.888 0.000
S: 0.435 0.703 0.708
S: 0.935 0.297 0.208
S: 0.935 0.297 0.792
S: 0.435 0.703 0.292

Output
Raw formation energy (meV/atom): -795
M_tot (μB/atom): 0.00


The following is a GGA-PBE calculation of crystalline KSn3Pb2S6 at its relaxed geometry, from Alexandria.

Cell: 4.135 8.547 9.370 Å, 101.50 102.75 90.00°
Atoms (fractional coordinates):
K: 0.500 0.000 0.000
Sn: 0.500 0.500 0.000
Sn: 0.832 0.165 0.664
Sn: 0.168 0.835 0.336
Pb: 0.831 0.660 0.662
Pb: 0.169 0.340 0.338
S: 0.320 0.892 0.640
S: 0.656 0.605 0.313
S: 0.680 0.108 0.360
S: 0.011 0.289 0.022
S: 0.989 0.711 0.978
S: 0.344 0.395 0.687

Output
Raw formation energy (meV/atom): -541
M_tot (μB/atom): 0.00


The following is a GGA-PBE calculation of crystalline K2SrPbS at its relaxed geometry, from Alexandria.

Cell: 6.335 6.440 6.335 Å, 90.00 90.00 90.00°
Each line ends with the local moment (μB).
Atoms (fractional coordinates):
Pb: 0.000 0.000 0.000  0.43
Sr: 0.000 0.500 0.000  0.04
K: 0.000 0.000 0.500  0.04
K: 0.500 0.000 0.000  0.03
S: 0.500 0.500 0.500  0.21

Output
Raw formation energy (meV/atom): 78
M_tot (μB/atom): 0.36
Distance to the lowest polymorph of the same formula (meV per atom): 0


Q: Which value of raw formation energy does entry 3 give?
A: -541 meV/atom


Q: Which formula does entry 2 have?
A: K2SnPbS4